A relaxed structure of LaPr2Gd, computed with PBE.

VASP energy (eV/atom): -7.133
Relative energy among the computed polymorphs (eV/f.u.): 0.00

The structure in POSCAR format:
```
LaPr2Gd
1.0
5.2075 0.0000 0.0000
0.0000 5.2075 0.0000
0.0000 0.0000 5.2282
La Pr Gd
1 2 1
Cartesian
0.0000 0.0000 0.0000
0.0000 2.6038 2.6141
2.6038 0.0000 2.6141
2.6038 2.6038 0.0000
```

---

A relaxed structure of LaPrGd4, computed with PBE.

VASP energy (eV/atom): -10.767

The structure in POSCAR format:
```
LaPrGd4
1.0
0.0000 4.7539 4.7539
4.7539 0.0000 4.7539
4.7539 4.7539 0.0000
La Pr Gd
1 1 4
Cartesian
0.0000 0.0000 0.0000
2.3769 2.3769 2.3769
5.9409 3.5669 3.5669
3.5669 5.9409 3.5669
3.5669 3.5669 5.9409
5.9409 5.9409 5.9409
```

---

| no. | N(E_F) (states/eV/f.u.) | size of the total moment (Bohr magnetons per cell) | energy relative to the elements (kJ/mol of atoms) |
| --- | --- | --- | --- |
| 1 | 6.66 | 7.47 | 0.9 |
| 2 | 17.02 | 33.31 | 23.0 |